Record 1
Computed, not measured: a geometry-optimized Rb3Y2SnS6 structure at the GGA-PBE level of DFT.

Summary:
magnetization	0.0	Bohr magnetons per cell
crystal system	monoclinic
space group	C2/m (12)
DOS(E_F)	5.0	states/eV per cell
uncorrected formation energy	-1459	meV per atom

Cell lengths 7.0900, 7.0900, 8.0179 Å; angles 98.47, 98.47, 120.00 degrees
Last column: nearest neighbours and their distance in Å.
Element x y z (fractional)
1 Rb 0.0000 0.0000 0.0000  6 S 3.34
2 Rb 0.3342 0.6658 0.0000  6 S 3.34-3.35
3 Rb 0.6658 0.3342 0.0000  6 S 3.34-3.35
4 Y 0.1668 0.8332 0.5000  6 S 2.78
5 Y 0.8332 0.1668 0.5000  6 S 2.78
6 Sn 0.5000 0.5000 0.5000  6 S 2.79
7 S 0.1024 0.4361 0.3082  2 Y 2.78, 1 Sn 2.79
8 S 0.2301 0.2301 0.6916  2 Y 2.78, 1 Sn 2.79
9 S 0.4361 0.1024 0.3082  2 Y 2.78, 1 Sn 2.79
10 S 0.5639 0.8976 0.6918  2 Y 2.78, 1 Sn 2.79
11 S 0.7699 0.7699 0.3084  2 Y 2.78, 1 Sn 2.79
12 S 0.8976 0.5639 0.6918  2 Y 2.78, 1 Sn 2.79

Record 2
Computed, not measured: a geometry-optimized Rb2ZnSnS4 structure at the GGA-PBE level of DFT.

Summary:
magnetization	0.0	Bohr magnetons per cell
crystal system	tetragonal
space group	I-4 (82)
DOS(E_F)	0.0	states/eV per cell
uncorrected formation energy	-882	meV per atom

Cell lengths 6.7987, 6.7987, 6.7987 Å; angles 114.85, 114.85, 99.17 degrees
Last column: nearest neighbours and their distance in Å.
Element x y z (fractional)
1 Rb 0.0000 0.0000 0.0000  4 S 3.40
2 Rb 0.7500 0.2500 0.5000  4 S 3.29
3 Zn 0.2500 0.7500 0.5000  4 S 2.37
4 Sn 0.5000 0.5000 0.0000  4 S 2.43
5 S 0.2121 0.1154 0.6049  1 Zn 2.37, 1 Sn 2.43
6 S 0.3928 0.7879 0.9033  1 Zn 2.37, 1 Sn 2.43
7 S 0.5104 0.6072 0.3951  1 Zn 2.37, 1 Sn 2.43
8 S 0.8846 0.4896 0.0967  1 Zn 2.37, 1 Sn 2.43

Record 3
Computed, not measured: a geometry-optimized RbSrS2 structure at the GGA-PBE level of DFT.

Summary:
magnetization	0.9	Bohr magnetons per cell
crystal system	tetragonal
space group	P4/mmm (123)
DOS(E_F)	1.3	states/eV per cell
uncorrected formation energy	-1242	meV per atom

Cell lengths 3.9209, 3.9209, 7.3790 Å; angles 90.00, 90.00, 90.00 degrees
Last column: nearest neighbours and their distance in Å.
Element x y z (fractional)
1 Rb 0.0000 0.0000 0.0000  8 S 3.57, 2 Sr 3.69, 4 Rb 3.92
2 Sr 0.0000 0.0000 0.5000  8 S 3.12
3 S 0.5000 0.5000 0.3047  1 S 2.88, 4 Sr 3.12
4 S 0.5000 0.5000 0.6953  1 S 2.88, 4 Sr 3.12

Record 4
Computed, not measured: a geometry-optimized RbSr2S structure at the GGA-PBE level of DFT.

Summary:
magnetization	0.0	Bohr magnetons per cell
crystal system	trigonal
space group	R-3m (166)
DOS(E_F)	2.2	states/eV per cell
uncorrected formation energy	-888	meV per atom

Cell lengths 12.2264, 12.2264, 12.2264 Å; angles 20.02, 20.02, 20.02 degrees
Last column: nearest neighbours and their distance in Å.
Element x y z (fractional)
1 Rb 0.0000 0.0000 0.0000  2 Sr 4.21, 6 Rb 4.25
2 Sr 0.1173 0.1173 0.1173  3 S 3.03
3 Sr 0.8827 0.8827 0.8827  3 S 3.03
4 S 0.5000 0.5000 0.5000  6 Sr 3.03

The lowest uncorrected formation energy belongs to which entry?
Rb3Y2SnS6

Which value of magnetization does entry 1 give?
0.0 Bohr magnetons per cell

magnetization of number 3 (RbSrS2)?
0.9 Bohr magnetons per cell